Entry 1:
The following is a DFT calculation (PBE-GGA) of crystalline MnCrTcSb at its relaxed geometry.

Calculated values
**Mass density**: 9.01 Mg/m³
**Symmetry**: F-43m
**Formation energy without anion corrections**: 0.0743 eV per atom

```
4
Lattice="0.0000 3.1110 3.1110 3.1110 0.0000 3.1110 3.1110 3.1110 0.0000" Properties=species:S:1:pos:R:3 pbc="T T T"
Mn 0.0000 0.0000 0.0000
Cr 4.6666 4.6666 4.6666
Tc 1.5555 1.5555 1.5555
Sb 3.1110 3.1110 3.1110
```

Entry 2:
The following is a DFT calculation (PBE-GGA) of crystalline PuAgPb at its relaxed geometry.

Calculated values
**Final energy**: -21.1 eV per cell
**Mass density**: 12.34 Mg/m³
**Symmetry**: P-6m2

```
3
Lattice="5.0944 0.0000 0.0000 -2.5472 4.4119 0.0000 0.0000 0.0000 3.3478" Properties=species:S:1:pos:R:3 pbc="T T T"
Pu 0.0000 0.0000 0.0000
Ag 2.5472 1.4706 1.6739
Pb 0.0000 2.9413 1.6739
```